Record 1
# HfI, optimized geometry, DFT PBE
# E_tot in eV per cell: -39.54
# Energy relative to the elements, uncorrected in eV/atom: 0.81
data_HfI
_chemical_formula_sum 'Hf4 I4'
_symmetry_space_group_name_H-M 'F m -3 m'
_symmetry_Int_Tables_number 225
_symmetry_space_group_name_Hall '-F 4 2 3'
_cell_length_a 5.9289
_cell_length_b 5.9289
_cell_length_c 5.9289
_cell_angle_alpha 90.00
_cell_angle_beta 90.00
_cell_angle_gamma 90.00
loop_
_atom_site_label
_atom_site_type_symbol
_atom_site_fract_x
_atom_site_fract_y
_atom_site_fract_z
Hf1 Hf 0.0000 0.0000 0.0000
I1 I 0.0000 0.0000 0.5000

Record 2
# HfI, optimized geometry, DFT PBE
# E_tot in eV per cell: -41.11
# Energy relative to the elements, uncorrected in eV/atom: 0.61
data_HfI
_chemical_formula_sum 'Hf4 I4'
_symmetry_space_group_name_H-M 'P 42/m n m'
_symmetry_Int_Tables_number 136
_symmetry_space_group_name_Hall '-P 4n 2n'
_cell_length_a 5.9368
_cell_length_b 5.9368
_cell_length_c 5.9312
_cell_angle_alpha 90.00
_cell_angle_beta 90.00
_cell_angle_gamma 90.00
loop_
_atom_site_label
_atom_site_type_symbol
_atom_site_fract_x
_atom_site_fract_y
_atom_site_fract_z
Hf1 Hf 0.1779 0.1779 0.0000
I1 I 0.2020 0.2020 0.5000

Record 3
# HfI, optimized geometry, DFT PBE
# E_tot in eV per cell: -90.36
# Energy relative to the elements, uncorrected in eV/atom: 0.10
data_HfI
_chemical_formula_sum 'Hf8 I8'
_symmetry_space_group_name_H-M 'I 4/m'
_symmetry_Int_Tables_number 87
_symmetry_space_group_name_Hall '-I 4'
_cell_length_a 13.2941
_cell_length_b 13.2941
_cell_length_c 3.5027
_cell_angle_alpha 90.00
_cell_angle_beta 90.00
_cell_angle_gamma 90.00
loop_
_atom_site_label
_atom_site_type_symbol
_atom_site_fract_x
_atom_site_fract_y
_atom_site_fract_z
Hf1 Hf 0.1762 0.7003 0.0000
I1 I 0.0043 0.7485 0.5000

Number 1: magnetization 0.0 μB/f.u.. Number 2: magnetization 0.0 μB/f.u.. Number 3: magnetization 0.0 μB/f.u..